This record from Alexandria describes a relaxed LiPr3Nd2Te6 crystal. The functional is PBE.

Unit cell a=10.036 b=10.036 c=8.973 alpha=102.92 beta=102.92 gamma=25.86
Positions (direct):
Li 0.000 0.000 0.000
Pr 0.000 0.000 0.500
Pr 0.331 0.331 0.168
Pr 0.669 0.669 0.832
Nd 0.332 0.332 0.662
Nd 0.668 0.668 0.338
Te 0.160 0.160 0.081
Te 0.166 0.166 0.583
Te 0.500 0.500 0.237
Te 0.500 0.500 0.763
Te 0.834 0.834 0.417
Te 0.840 0.840 0.919

E_form (uncorrected)   -1405 meV/atom
V   31.97 A^3/atom
Density of states at the Fermi level   4.4 states/eV/f.u.
Crystal system   monoclinic